Record 1
12
Lattice="2.047 -10.625 0.000 2.047 10.625 0.000 0.000 0.000 3.905" Properties=species:S:1:pos:R:3 comment="Rb3Be2F7 (PBE, relaxed)" e_form_raw_ev_per_atom=-2.744 pbc="T T T"
Rb 0.000 0.000 0.000
Rb 2.047 6.884 0.000
Rb 2.047 -6.884 0.000
Be 2.047 1.827 1.952
Be 2.047 -1.827 1.952
F 2.047 8.767 1.952
F 2.047 3.452 1.952
F 2.047 1.827 0.000
F 2.047 0.000 1.952
F 2.047 -1.827 0.000
F 2.047 -3.452 1.952
F 2.047 -8.767 1.952

Record 2
10
Lattice="8.715 0.000 0.000 0.000 8.715 0.000 0.000 0.000 4.173" Properties=species:S:1:pos:R:3 comment="Rb2Be2F (PBE, relaxed)" e_form_raw_ev_per_atom=0.274 pbc="T T T"
Rb 1.808 2.549 0.000
Rb 2.549 6.907 0.000
Rb 6.166 1.808 0.000
Rb 6.907 6.166 0.000
Be 0.751 5.108 2.086
Be 3.607 0.751 2.086
Be 5.108 7.964 2.086
Be 7.964 3.607 2.086
F 0.000 0.000 2.086
F 4.357 4.357 2.086

Record 3
22
Lattice="6.932 -3.034 0.000 6.932 3.034 0.000 -5.367 0.000 12.240" Properties=species:S:1:pos:R:3 comment="Rb4BeF6 (PBE, relaxed)" e_form_raw_ev_per_atom=-2.871 pbc="T T T"
Rb 4.248 2.216 6.120
Rb 5.456 1.101 2.407
Rb 4.978 1.629 10.377
Rb 9.983 1.077 2.225
Rb 2.773 -1.101 8.527
Rb 6.932 -2.216 0.000
Rb 7.661 -1.629 4.257
Rb 7.300 -1.077 8.345
Be 7.492 1.317 5.677
Be 4.808 -1.317 11.797
F 3.292 1.774 3.678
F 2.906 0.346 0.262
F 3.083 1.612 8.466
F 0.222 -0.346 6.383
F 7.652 1.538 4.111
F 6.303 0.299 5.930
F 0.609 -1.774 9.798
F 3.620 -0.299 12.050
F 8.802 0.687 6.242
F 5.766 -1.612 2.346
F 4.968 -1.538 10.231
F 11.486 -0.687 0.122

Record 4
4
Lattice="0.000 3.204 3.204 3.204 0.000 3.204 3.204 3.204 0.000" Properties=species:S:1:pos:R:3 comment="RbBeF2 (PBE, relaxed)" e_form_raw_ev_per_atom=-1.092 pbc="T T T"
Rb 0.000 0.000 0.000
Be 3.204 3.204 3.204
F 1.602 1.602 1.602
F 4.806 4.806 4.806

Record 5
4
Lattice="0.000 3.994 3.994 3.994 0.000 3.994 3.994 3.994 0.000" Properties=species:S:1:pos:R:3 comment="Rb2BeF (PBE, relaxed)" e_form_raw_ev_per_atom=-0.320 pbc="T T T"
Rb 1.997 1.997 1.997
Rb 5.990 5.990 5.990
Be 0.000 0.000 0.000
F 3.994 3.994 3.994

Record 6
10
Lattice="7.505 0.000 0.000 0.000 7.505 0.000 0.000 0.000 6.013" Properties=species:S:1:pos:R:3 comment="Rb2Be2F (PBE, relaxed)" e_form_raw_ev_per_atom=0.094 pbc="T T T"
Rb 1.521 2.232 0.000
Rb 2.232 5.985 0.000
Rb 5.274 1.521 0.000
Rb 5.985 5.274 0.000
Be 0.769 4.521 3.006
Be 2.984 0.769 3.006
Be 4.521 6.737 3.006
Be 6.737 2.984 3.006
F 0.000 0.000 0.000
F 3.753 3.753 0.000

Record 7
8
Lattice="-4.073 4.073 4.682 4.073 -4.073 4.682 4.073 4.073 -4.682" Properties=species:S:1:pos:R:3 comment="Rb2BeF (PBE, relaxed)" e_form_raw_ev_per_atom=-0.579 pbc="T T T"
Rb 6.109 1.269 -1.171
Rb 1.269 2.036 1.171
Rb -2.036 2.804 3.512
Rb 2.804 2.036 5.853
Be 4.073 0.000 2.341
Be 0.000 0.000 4.682
F 0.000 0.000 0.000
F 0.000 4.073 2.341

Record 8
10
Lattice="-2.804 2.804 4.369 2.804 -2.804 4.369 2.804 2.804 -4.369" Properties=species:S:1:pos:R:3 comment="Rb2BeReF6 (PBE, relaxed)" e_form_raw_ev_per_atom=-2.034 pbc="T T T"
Rb 2.804 0.000 2.185
Rb 0.000 2.804 2.185
Be 0.000 0.000 0.000
Re 0.000 0.000 4.369
F 1.215 1.215 0.000
F 1.588 -1.588 4.369
F 0.000 0.000 2.235
F 0.000 0.000 6.503
F -1.588 1.588 4.369
F 1.588 1.588 4.369

Number 1: N(E_F) 0.0 states/eV/f.u.. Number 2: N(E_F) 4.1 states/eV/f.u.. Number 3: N(E_F) 0.0 states/eV/f.u.. Number 4: N(E_F) 7.9 states/eV/f.u.. Number 5: N(E_F) 0.9 states/eV/f.u.. Number 6: N(E_F) 2.5 states/eV/f.u.. Number 7: N(E_F) 3.2 states/eV/f.u.. Number 8: N(E_F) 11.6 states/eV/f.u..